Crystalline Na2CoNi3F12 at its relaxed geometry. Source: Alexandria via LeMat-Bulk, functional PBE with a Hubbard U.

## Properties
Its total energy is -4.177 eV/atom. As for the magnetization: 0.33 μB/atom.

Cell lengths 7.215, 7.215, 7.215 Å; angles 58.08, 58.08, 58.08 degrees
Each line ends with the local moment (μB).
Atoms (fractional coordinates):
F 0.068 0.068 0.693  0.03
Ni 0.000 0.500 0.000  1.75
F 0.338 0.338 0.915  0.00
F 0.693 0.068 0.068  0.03
Co 0.000 0.000 0.000  0.42
Na 0.591 0.591 0.591  0.00
F 0.662 0.085 0.662  0.00
F 0.915 0.338 0.338  0.00
F 0.932 0.307 0.932  0.03
F 0.338 0.915 0.338  0.00
Ni 0.000 0.000 0.500  1.75
Na 0.409 0.409 0.409  0.00
F 0.085 0.662 0.662  0.00
F 0.662 0.662 0.085  0.00
Ni 0.500 0.000 0.000  1.75
F 0.932 0.932 0.307  0.03
F 0.307 0.932 0.932  0.03
F 0.068 0.693 0.068  0.03